# 1
VASP calculation (GGA-PBE) on crystalline ThUPa at its relaxed geometry.

a b c (Å): 6.6199 6.0332 7.8423
angles (deg): 90.00 99.28 90.00
Closest atoms and distances in Å follow each position.
Space group P2_1/c (No. 14)
One atom of each set of equivalent atoms:
1 Th 0.1000 0.1440 0.3383 x4  3 U 3.14-3.41, 5 Pa 3.29-3.50, 3 Th 3.49-3.51
2 U 0.4556 0.1352 0.6786 x4  2 Pa 2.69-2.75
3 Pa 0.2959 0.6451 0.5143 x4  2 U 2.69-2.75

## Properties
N(E_F)   30.4 states/eV/cell
Calculated formation energy   0.58 eV/f.u.

=====

# 2
VASP calculation (GGA-PBE) on crystalline ThPa2V at its relaxed geometry.

a b c (Å): 3.4357 3.4357 8.0769
angles (deg): 90.00 90.00 90.00
Closest atoms and distances in Å follow each position.
Space group P4/mmm (No. 123)
One atom of each set of equivalent atoms:
1 Th 0.0000 0.0000 0.0000 x1  8 Pa 3.39, 4 Th 3.44
2 Pa 0.5000 0.5000 0.2933 x2  4 V 2.95
3 V 0.0000 0.0000 0.5000 x1  8 Pa 2.95

## Properties
E above lowest polymorph   0 meV per atom
N(E_F)   8.1 states/eV/cell
Calculated formation energy   0.80 eV/f.u.

=====

The highest calculated formation energy belongs to which entry?
ThPa2V

=====

Among the records above, which one has the highest calculated formation energy?
ThPa2V